1.
{"formula": "LiRe2Br", "functional": "PBE", "state": "optimized geometry", "energy_ev_per_atom": -6.478, "m_tot_mub_per_fu": 0.00, "relative_energy_kcal_per_mol_atoms": 11.18, "raw_formation_energy_mev_per_atom": 642, "lattice_angstrom": [[-4.2026, -4.3295, 0.2156], [3.8325, 1.4463, -4.4355], [1.5279, -2.6680, -0.6737]], "species": ["Re", "Br", "Re", "Li"], "fractional_positions": [[0.0000, 0.0000, 0.0000], [0.5000, 0.0000, 0.5000], [0.5000, 0.5000, 0.0000], [0.0000, 0.5000, 0.5000]]}

---

2.
{"formula": "AcSmCuAs", "functional": "PBE", "state": "optimized geometry", "energy_ev_per_atom": -4.927, "m_tot_mub_per_fu": 0.00, "delta_e_f_ev_per_atom": -0.533, "lattice_angstrom": [[5.2498, 0.0000, 0.0000], [2.6249, 4.5464, 0.0000], [2.6249, 1.5155, 4.2864]], "species": ["Ac", "Sm", "Cu", "As"], "fractional_positions": [[0.2500, 0.2500, 0.2500], [0.7500, 0.7500, 0.7500], [0.0000, 0.0000, 0.0000], [0.5000, 0.5000, 0.5000]]}

---

3.
{"formula": "KRbBe2", "functional": "PBE", "state": "optimized geometry", "energy_ev_per_atom": -1.659, "m_tot_mub_per_fu": 0.00, "relative_energy_kcal_per_mol_atoms": 5.83, "delta_e_f_ev_per_atom": 0.720, "lattice_angstrom": [[4.2052, 0.0280, 0.0382], [2.0464, 6.2559, 0.0137], [1.9600, 0.2157, 6.5029]], "species": ["K", "Be", "Rb", "Be"], "fractional_positions": [[0.0000, 0.0000, 0.0000], [0.7484, 0.5154, 0.9874], [0.5000, 0.5000, 0.5000], [0.2516, 0.4846, 0.0126]]}

---

Copy entry 3 word for word.
{"formula": "KRbBe2", "functional": "PBE", "state": "optimized geometry", "energy_ev_per_atom": -1.659, "m_tot_mub_per_fu": 0.00, "relative_energy_kcal_per_mol_atoms": 5.83, "delta_e_f_ev_per_atom": 0.720, "lattice_angstrom": [[4.2052, 0.0280, 0.0382], [2.0464, 6.2559, 0.0137], [1.9600, 0.2157, 6.5029]], "species": ["K", "Be", "Rb", "Be"], "fractional_positions": [[0.0000, 0.0000, 0.0000], [0.7484, 0.5154, 0.9874], [0.5000, 0.5000, 0.5000], [0.2516, 0.4846, 0.0126]]}

---

Q: Number 1 is which compound?
A: LiRe2Br